The following is a DFT calculation (GGA-PBE) of a relaxed La5CePmDy2 crystal.

abc: 8.298 8.298 9.327
angles: 90.00 90.00 90.00
Positions (direct):
1 La 0.000 0.000 0.000
2 La 0.190 0.310 0.273
3 La 0.190 0.310 0.727
4 La 0.310 0.810 0.273
5 La 0.310 0.810 0.727
6 La 0.500 0.500 0.000
7 La 0.690 0.190 0.273
8 La 0.690 0.190 0.727
9 La 0.810 0.690 0.273
10 La 0.810 0.690 0.727
11 Ce 0.000 0.500 0.500
12 Ce 0.500 0.000 0.500
13 Pm 0.000 0.000 0.500
14 Pm 0.500 0.500 0.500
15 Dy 0.129 0.629 0.000
16 Dy 0.371 0.129 0.000
17 Dy 0.629 0.871 0.000
18 Dy 0.871 0.371 0.000

Computed properties:
Uncorrected energy = -4.670 eV per atom
D(E_F) = 1.8908 states/eV per atom
E_form = 0.2776 eV/atom
Space-group type = P4/mbm